Entry 1:
Compound: InTeCl2
Source: Alexandria
Functional: PBE
Structure: relaxed

## Properties
Calculated density (kg/m³): 3767
Spin magnetization (μB per atom): 0.000
V (Å³/atom): 34.5
E_tot (Ha/atom): -0.112
ΔE to the lowest computed polymorph (kJ/mol of formula units): 0

```
data_InTeCl2
_chemical_formula_sum 'In4 Te4 Cl8'
_cell_length_a 6.922
_cell_length_b 5.694
_cell_length_c 14.018
_cell_angle_alpha 90.00
_cell_angle_beta 90.00
_cell_angle_gamma 90.00
_space_group_name_H-M_alt 'P n n a'
_space_group_IT_number 52
loop_
_space_group_symop_operation_xyz
'x,y,z'
'-x,-y,-z'
'-x+1/2,-y,z'
'x+1/2,y,-z'
'x,-y+1/2,-z+1/2'
'-x,y+1/2,z+1/2'
'-x+1/2,y+1/2,-z+1/2'
'x+1/2,-y+1/2,z+1/2'
loop_
_atom_site_label
_atom_site_fract_x
_atom_site_fract_y
_atom_site_fract_z
In1 0.250 0.000 0.065
Te1 0.171 0.250 0.250
Cl1 0.081 0.245 0.941
```



Entry 2:
Compound: In2Te2Cl
Source: Alexandria
Functional: PBE
Structure: relaxed

## Properties
Calculated density (kg/m³): 4645
Spin magnetization (μB per atom): 0.000
V (Å³/atom): 37.2
E_tot (Ha/atom): -0.117
ΔE to the lowest computed polymorph (kJ/mol of formula units): 0

```
data_In2Te2Cl
_chemical_formula_sum 'In4 Te4 Cl2'
_cell_length_a 7.372
_cell_length_b 7.915
_cell_length_c 8.111
_cell_angle_alpha 61.01
_cell_angle_beta 80.66
_cell_angle_gamma 64.20
_space_group_name_H-M_alt 'P -1'
_space_group_IT_number 2
loop_
_space_group_symop_operation_xyz
'x,y,z'
'-x,-y,-z'
loop_
_atom_site_label
_atom_site_fract_x
_atom_site_fract_y
_atom_site_fract_z
In1 0.191 0.104 0.029
In2 0.232 0.018 0.531
Te1 0.093 0.688 0.755
Te2 0.437 0.155 0.679
Cl1 0.129 0.751 0.205
```



Entry 3:
Compound: InTeCl4
Source: Alexandria
Functional: PBE
Structure: relaxed

## Properties
Calculated density (kg/m³): 3764
Spin magnetization (μB per atom): 0.843
V (Å³/atom): 28.3
E_tot (Ha/atom): -0.068

```
data_InTeCl4
_chemical_formula_sum 'In4 Te4 Cl16'
_cell_length_a 8.785
_cell_length_b 8.785
_cell_length_c 8.785
_cell_angle_alpha 90.00
_cell_angle_beta 90.00
_cell_angle_gamma 90.00
_space_group_name_H-M_alt 'F -4 3 m'
_space_group_IT_number 216
_space_group_name_Hall 'F -4 2 3'
loop_
_atom_site_label
_atom_site_fract_x
_atom_site_fract_y
_atom_site_fract_z
In1 0.000 0.000 0.000
Te1 0.250 0.250 0.750
Cl1 0.125 0.125 0.375
```



Entry 4:
Compound: InTeCl2
Source: Alexandria
Functional: PBE
Structure: relaxed

## Properties
Calculated density (kg/m³): 4696
Spin magnetization (μB per atom): 0.000
V (Å³/atom): 27.7
E_tot (Ha/atom): -0.099
ΔE to the lowest computed polymorph (kJ/mol of formula units): 144

```
data_InTeCl2
_chemical_formula_sum 'In2 Te2 Cl4'
_cell_length_a 4.368
_cell_length_b 3.938
_cell_length_c 12.884
_cell_angle_alpha 90.00
_cell_angle_beta 90.00
_cell_angle_gamma 90.00
_space_group_name_H-M_alt 'A m m 2'
_space_group_IT_number 38
loop_
_space_group_symop_operation_xyz
'x,y,z'
'-x,-y,z'
'-x,y,z'
'x,-y,z'
'x,y+1/2,z+1/2'
'-x,-y+1/2,z+1/2'
'-x,y+1/2,z+1/2'
'x,-y+1/2,z+1/2'
loop_
_atom_site_label
_atom_site_fract_x
_atom_site_fract_y
_atom_site_fract_z
In1 0.000 0.000 0.000
Te1 0.000 0.000 0.739
Cl1 0.500 0.000 0.236
Cl2 0.500 0.000 0.493
```



Entry 5:
Compound: InTeCl2
Source: Alexandria
Functional: PBE
Structure: relaxed

## Properties
Calculated density (kg/m³): 4220
Spin magnetization (μB per atom): 0.000
V (Å³/atom): 30.8
E_tot (Ha/atom): -0.099
ΔE to the lowest computed polymorph (kJ/mol of formula units): 140

```
data_InTeCl2
_chemical_formula_sum 'In2 Te2 Cl4'
_cell_length_a 3.617
_cell_length_b 4.574
_cell_length_c 14.902
_cell_angle_alpha 90.00
_cell_angle_beta 90.00
_cell_angle_gamma 90.00
_space_group_name_H-M_alt 'I m m 2'
_space_group_IT_number 44
loop_
_space_group_symop_operation_xyz
'x,y,z'
'-x,-y,z'
'-x,y,z'
'x,-y,z'
'x+1/2,y+1/2,z+1/2'
'-x+1/2,-y+1/2,z+1/2'
'-x+1/2,y+1/2,z+1/2'
'x+1/2,-y+1/2,z+1/2'
loop_
_atom_site_label
_atom_site_fract_x
_atom_site_fract_y
_atom_site_fract_z
In1 0.000 0.000 0.000
Te1 0.000 0.500 0.684
Cl1 0.000 0.000 0.453
Cl2 0.000 0.500 0.195
```



Entry 6:
Compound: InTeCl2
Source: Alexandria
Functional: PBE
Structure: relaxed

## Properties
Calculated density (kg/m³): 5261
Spin magnetization (μB per atom): 0.000
V (Å³/atom): 24.7
E_tot (Ha/atom): -0.092
ΔE to the lowest computed polymorph (kJ/mol of formula units): 212

```
data_InTeCl2
_chemical_formula_sum 'In2 Te2 Cl4'
_cell_length_a 4.621
_cell_length_b 4.621
_cell_length_c 9.262
_cell_angle_alpha 90.00
_cell_angle_beta 90.00
_cell_angle_gamma 90.00
_space_group_name_H-M_alt 'I -4 m 2'
_space_group_IT_number 119
_space_group_name_Hall 'I -4 -2'
loop_
_atom_site_label
_atom_site_fract_x
_atom_site_fract_y
_atom_site_fract_z
In1 0.000 0.000 0.000
Te1 0.000 0.500 0.750
Cl1 0.000 0.000 0.500
Cl2 0.000 0.500 0.250
```



Entry 7:
Compound: InTeCl2
Source: Alexandria
Functional: PBE
Structure: relaxed

## Properties
Calculated density (kg/m³): 4786
Spin magnetization (μB per atom): 0.000
V (Å³/atom): 27.2
E_tot (Ha/atom): -0.100
ΔE to the lowest computed polymorph (kJ/mol of formula units): 134

```
data_InTeCl2
_chemical_formula_sum 'In2 Te2 Cl4'
_cell_length_a 3.384
_cell_length_b 6.662
_cell_length_c 9.643
_cell_angle_alpha 90.00
_cell_angle_beta 90.00
_cell_angle_gamma 90.00
_space_group_name_H-M_alt 'I m m m'
_space_group_IT_number 71
_space_group_name_Hall '-I 2 2'
loop_
_atom_site_label
_atom_site_fract_x
_atom_site_fract_y
_atom_site_fract_z
In1 0.000 0.000 0.000
Te1 0.000 0.000 0.500
Cl1 0.000 0.500 0.243
```



Entry 8:
Compound: InTeCl2
Source: Alexandria
Functional: PBE
Structure: relaxed

## Properties
Calculated density (kg/m³): 4486
Spin magnetization (μB per atom): 0.000
V (Å³/atom): 29.0
E_tot (Ha/atom): -0.098
ΔE to the lowest computed polymorph (kJ/mol of formula units): 153

```
data_InTeCl2
_chemical_formula_sum 'In3 Te3 Cl6'
_cell_length_a 3.6602
_cell_length_b 3.6602
_cell_length_c 29.9864
_cell_angle_alpha 90.00
_cell_angle_beta 90.00
_cell_angle_gamma 120.00
_space_group_name_H-M_alt 'R -3 m'
_space_group_IT_number 166
_space_group_name_Hall '-R 3 2"'
loop_
_atom_site_label
_atom_site_fract_x
_atom_site_fract_y
_atom_site_fract_z
In1 0.0000 0.0000 0.0000
Te1 0.0000 0.0000 0.5000
Cl1 0.0000 0.0000 0.2748
```